# Pm12Nd5Th2 GGA-PBE optimized geometry
# **Energy of formation from the pure elements**: 152 meV/atom
# **VASP energy**: -4.88 eV per atom
# **Total magnetic moment**: 0.00 μB/f.u.
data_Pm12Nd5Th2
_chemical_formula_sum 'Pm24 Nd10 Th4'
_cell_length_a 22.608
_cell_length_b 7.149
_cell_length_c 8.807
_cell_angle_alpha 90.00
_cell_angle_beta 110.06
_cell_angle_gamma 90.00
_symmetry_space_group_name_H-M 'C 1 2/m 1'
_symmetry_Int_Tables_number 12
loop_
_symmetry_equiv_pos_as_xyz
'x,y,z'
'-x,-y,-z'
'-x,y,-z'
'x,-y,z'
'x+1/2,y+1/2,z'
'-x+1/2,-y+1/2,-z'
'-x+1/2,y+1/2,-z'
'x+1/2,-y+1/2,z'
loop_
_atom_site_label
_atom_site_fract_x
_atom_site_fract_y
_atom_site_fract_z
Pm1 0.046 0.000 0.201
Pm2 0.107 0.245 0.885
Pm3 0.139 0.500 0.554
Pm4 0.201 0.247 0.293
Nd1 0.000 0.500 0.000
Nd2 0.149 0.000 0.595
Nd3 0.249 0.500 0.990
Th1 0.000 0.251 0.500

# PmNd2Th GGA-PBE optimized geometry
# **Energy of formation from the pure elements**: 90 meV/atom
# **VASP energy**: -5.34 eV per atom
# **Total magnetic moment**: 0.00 μB/f.u.
data_PmNd2Th
_chemical_formula_sum 'Pm4 Nd8 Th4'
_cell_length_a 3.556
_cell_length_b 28.379
_cell_length_c 5.506
_cell_angle_alpha 90.00
_cell_angle_beta 90.00
_cell_angle_gamma 90.00
_symmetry_space_group_name_H-M 'C m c m'
_symmetry_Int_Tables_number 63
_symmetry_space_group_name_Hall '-C 2c 2'
loop_
_atom_site_label
_atom_site_fract_x
_atom_site_fract_y
_atom_site_fract_z
Pm1 0.000 0.218 0.250
Nd1 0.000 0.090 0.250
Nd2 0.000 0.345 0.250
Th1 0.000 0.471 0.250